A relaxed AlAg5 crystal, computed with PBE-GGA.

abc: 5.0321 5.7652 8.8659
angles: 90.00 90.00 125.35
Closest atoms and distances in Å follow each position.
Atoms (fractional coordinates):
Al 0.7499 0.5005 0.2500  12 Ag 2.88-2.96
Al 0.2501 0.4995 0.7500  12 Ag 2.88-2.96
Ag 0.7500 0.0009 0.2500  2 Al 2.88, 10 Ag 2.89-3.00
Ag 0.2500 0.9991 0.7500  2 Al 2.88, 10 Ag 2.89-3.00
Ag 0.2497 0.0001 0.4116  10 Ag 2.87-3.00, 2 Al 2.88
Ag 0.7503 0.9999 0.9116  10 Ag 2.87-3.00, 2 Al 2.88
Ag 0.7503 0.9999 0.5884  10 Ag 2.87-3.00, 2 Al 2.88
Ag 0.2497 0.0001 0.0884  10 Ag 2.87-3.00, 2 Al 2.88
Ag 0.2503 0.5005 0.4165  9 Ag 2.88-2.95, 3 Al 2.92-2.96
Ag 0.7497 0.4995 0.9165  9 Ag 2.88-2.95, 3 Al 2.92-2.96
Ag 0.7497 0.4995 0.5835  9 Ag 2.88-2.95, 3 Al 2.92-2.96
Ag 0.2503 0.5005 0.0835  9 Ag 2.88-2.95, 3 Al 2.92-2.96

Output
D(E_F): 1.07 states/eV/f.u.
energy relative to the lowest polymorph listed for this composition: 2 meV/atom
energy: -3.02 eV/atom
symmetry: P2_1/m

=====

A relaxed U2GeIr crystal, computed with PBE-GGA.

abc: 3.7405 3.7405 5.6744
angles: 90.00 90.00 90.00
Closest atoms and distances in Å follow each position.
Atoms (fractional coordinates):
Ge 0.5000 0.5000 0.5000  2 Ir 2.84, 8 U 2.98
Ir 0.5000 0.5000 0.0000  2 Ge 2.84, 8 U 3.02
U 0.0000 0.0000 0.7417  2 U 2.74-2.93, 4 Ge 2.98, 4 Ir 3.02
U 0.0000 0.0000 0.2583  2 U 2.74-2.93, 4 Ge 2.98, 4 Ir 3.02

Output
D(E_F): 7.44 states/eV/f.u.
energy: -9.38 eV/atom
symmetry: P4/mmm

=====

A relaxed Rb2HfBeIn crystal, computed with PBE-GGA.

abc: 6.6490 4.5935 6.6490
angles: 90.00 90.00 90.00
Closest atoms and distances in Å follow each position.
Atoms (fractional coordinates):
Be 0.0000 0.0000 0.0000  2 In 2.30
Hf 0.5000 0.5000 0.5000  8 Rb 4.04
Rb 0.0000 0.0000 0.5000  2 Be 3.32
Rb 0.5000 0.0000 0.0000  2 Be 3.32
In 0.0000 0.5000 0.0000  2 Be 2.30

Output
D(E_F): 8.34 states/eV/f.u.
energy: -2.45 eV/atom
symmetry: P4/mmm

=====

A relaxed AsPdPb crystal, computed with PBE-GGA.

abc: 6.4778 6.4778 6.4778
angles: 90.00 90.00 90.00
Closest atoms and distances in Å follow each position.
Atoms (fractional coordinates):
As 0.6279 0.6279 0.6279  3 Pd 2.50
As 0.8721 0.3721 0.1279  3 Pd 2.50
As 0.1279 0.8721 0.3721  3 Pd 2.50
As 0.3721 0.1279 0.8721  3 Pd 2.50
Pb 0.3699 0.3699 0.3699  3 Pd 2.89, 1 As 2.90
Pb 0.1301 0.6301 0.8699  3 Pd 2.89, 1 As 2.90
Pb 0.8699 0.1301 0.6301  3 Pd 2.89, 1 As 2.90
Pb 0.6301 0.8699 0.1301  3 Pd 2.89, 1 As 2.90
Pd 0.0345 0.0345 0.0345  3 As 2.50
Pd 0.4655 0.9655 0.5345  3 As 2.50
Pd 0.5345 0.4655 0.9655  3 As 2.50
Pd 0.9655 0.5345 0.4655  3 As 2.50

Output
D(E_F): 2.12 states/eV/f.u.
energy relative to the lowest polymorph listed for this composition: 22 meV/atom
energy: -4.70 eV/atom
symmetry: P2_13

=====

A relaxed Tb2PmAl9 crystal, computed with PBE-GGA.

abc: 5.6063 5.6063 9.3540
angles: 72.56 72.56 60.00
Closest atoms and distances in Å follow each position.
Atoms (fractional coordinates):
Tb 0.8581 0.8581 0.4257  12 Al 3.20-3.30, 3 Tb 3.49
Tb 0.1419 0.1419 0.5743  12 Al 3.20-3.30, 3 Tb 3.49
Pm 0.0000 0.0000 0.0000  18 Al 3.24-3.56
Al 0.6645 0.6645 0.0065  6 Al 2.71-2.76
Al 0.3355 0.3355 0.9935  6 Al 2.71-2.76
Al 0.5000 0.5000 0.5000  6 Al 2.74
Al 0.4126 0.4126 0.2507  7 Al 2.71-2.87
Al 0.9240 0.4126 0.2507  7 Al 2.71-2.87
Al 0.4126 0.9240 0.2507  7 Al 2.71-2.87
Al 0.5874 0.5874 0.7493  7 Al 2.71-2.87
Al 0.5874 0.0760 0.7493  7 Al 2.71-2.87
Al 0.0760 0.5874 0.7493  7 Al 2.71-2.87

Output
D(E_F): 4.80 states/eV/f.u.
energy: -4.36 eV/atom
symmetry: R-3m

=====

A relaxed H2IBr8 crystal, computed with PBE-GGA.

abc: 7.5362 8.0692 8.0692
angles: 64.47 76.19 76.19
Closest atoms and distances in Å follow each position.
Atoms (fractional coordinates):
H 0.7604 0.7813 0.7813  1 Br 1.46
H 0.2396 0.2187 0.2187  1 Br 1.46
I 0.0000 0.0000 0.0000  6 Br 2.67-2.76
Br 0.1414 0.8774 0.3138  1 I 2.67, 1 H 2.76
Br 0.1414 0.3138 0.8774  1 I 2.67, 1 H 2.76
Br 0.8586 0.1226 0.6862  1 I 2.67, 1 H 2.76
Br 0.3218 0.3035 0.3035  1 H 1.46
Br 0.8586 0.6862 0.1226  1 I 2.67, 1 H 2.76
Br 0.3228 0.8412 0.8412  1 I 2.76, 1 Br 2.84
Br 0.6772 0.1588 0.1588  1 I 2.76, 1 Br 2.84
Br 0.6782 0.6965 0.6965  1 H 1.46

Output
D(E_F): 2.56 states/eV/f.u.
energy: -1.92 eV/atom
symmetry: C2/m

=====

A relaxed NdEr2Tl2Cd2 crystal, computed with PBE-GGA.

abc: 5.0347 5.0347 9.2030
angles: 74.13 74.13 60.00
Closest atoms and distances in Å follow each position.
Atoms (fractional coordinates):
Nd 0.0000 0.0000 0.0000  6 Tl 3.38, 2 Er 3.52
Er 0.1345 0.1345 0.5964  3 Cd 3.04, 3 Er 3.36
Er 0.8655 0.8655 0.4036  3 Cd 3.04, 3 Er 3.36
Tl 0.7328 0.7328 0.8016  3 Cd 3.05, 3 Nd 3.38
Tl 0.2672 0.2672 0.1984  3 Cd 3.05, 3 Nd 3.38
Cd 0.5658 0.5658 0.3025  3 Er 3.04, 3 Tl 3.05
Cd 0.4342 0.4342 0.6975  3 Er 3.04, 3 Tl 3.05

Output
D(E_F): 4.88 states/eV/f.u.
energy: -3.09 eV/atom
symmetry: R-3m

=====

A relaxed RbAgPRu crystal, computed with PBE-GGA.

abc: 4.0169 4.0169 12.7317
angles: 90.00 90.00 90.00
Closest atoms and distances in Å follow each position.
Atoms (fractional coordinates):
Rb 0.7500 0.7500 0.2530  4 P 3.50, 4 Ag 3.73, 4 Ru 3.80
Rb 0.2500 0.2500 0.7470  4 P 3.50, 4 Ag 3.73, 4 Ru 3.80
Ag 0.2500 0.7500 0.5000  4 Ag 2.84
Ag 0.7500 0.2500 0.5000  4 Ag 2.84
P 0.7500 0.7500 0.9081  4 Ru 2.32
P 0.2500 0.2500 0.0919  4 Ru 2.32
Ru 0.7500 0.2500 0.0000  4 P 2.32
Ru 0.2500 0.7500 0.0000  4 P 2.32

Output
D(E_F): 2.24 states/eV/f.u.
energy: -4.98 eV/atom
symmetry: P4/nmm

=====

Question: Which of these has the lowest energy?
Answer: U2GeIr

=====

Question: Which value of energy does entry 5 give?
Answer: -4.36 eV/atom

=====

Question: The lowest D(E_F) belongs to which entry?
Answer: AlAg5

=====

Question: Which of these has the lowest D(E_F)?
Answer: AlAg5